--- a ---
Computed, not measured: a relaxed structure of TlAs2OsBr at the PBE level of DFT.

Cell lengths 4.749, 4.749, 5.849 Å; angles 90.00, 90.00, 90.00 degrees
Atoms (fractional coordinates):
Tl 0.500 0.500 0.500
Os 0.000 0.000 0.000
As 0.000 0.500 0.000
As 0.500 0.000 0.000
Br 0.000 0.000 0.500

Summary:
The calculated volume comes out at 26.38 Å³ per atom. The crystal system is tetragonal.


--- b ---
Computed, not measured: a relaxed structure of TlAs2OsBr at the PBE level of DFT.

Cell lengths 5.313, 5.313, 5.424 Å; angles 90.00, 90.00, 90.00 degrees
Atoms (fractional coordinates):
Tl 0.000 0.000 0.000
Os 0.500 0.500 0.500
As 0.000 0.500 0.000
As 0.500 0.000 0.000
Br 0.000 0.000 0.500

Summary:
The calculated volume comes out at 30.62 Å³ per atom. The crystal system is tetragonal.


What should be chosen as the least stable of them? Choose b.


--- a ---
Computed, not measured: a relaxed structure of VAsOsBr2 at the PBE level of DFT.

Cell lengths 4.773, 4.773, 5.108 Å; angles 90.00, 90.00, 90.00 degrees
Atoms (fractional coordinates):
As 0.000 0.000 0.500
Os 0.500 0.500 0.500
Br 0.000 0.500 0.000
Br 0.500 0.000 0.000
V 0.000 0.000 0.000

Summary:
The calculated volume comes out at 23.27 Å³ per atom. The crystal system is tetragonal.


--- b ---
Computed, not measured: a relaxed structure of VAsOsBr2 at the PBE level of DFT.

Cell lengths 5.228, 5.228, 4.642 Å; angles 90.00, 90.00, 90.00 degrees
Atoms (fractional coordinates):
As 0.000 0.000 0.500
Os 0.000 0.000 0.000
Br 0.000 0.500 0.000
Br 0.500 0.000 0.000
V 0.500 0.500 0.500

Summary:
The calculated volume comes out at 25.38 Å³ per atom. The crystal system is tetragonal.


What should be chosen as the least stable of them? Choose a.